Compound: CoNiRh
Source: Alexandria via LeMat-Bulk
Functional: PBEsol
Structure: optimized geometry

Geometry as extended XYZ:
```
3
Lattice="-2.4197 0.7779 0.3690 -1.0486 -3.3760 0.2408 2.3363 1.3813 3.4699" Properties=species:S:1:pos:R:3 pbc="T T T"
Ni -1.5373 -1.2722 1.5387
Rh 0.4028 0.0550 2.5252
Co 0.0025 0.0003 0.0159
```

Summary:
* DOS at the Fermi energy: 5.119 states/eV/cell
* energy above the lowest structure with this stoichiometry: 0 meV/atom
* DFT formation energy: 17 kJ/mol of formula units
* mass density: 10.5 Mg/m³